## As3Pb5ClO9 (PBE)

Data for As3Pb5ClO9 after structural relaxation.

**VASP energy**: -200.59 eV per cell
**Theoretical density**: 6.4 g/cm³
**Space-group type**: P6_3
**Relative energy among the computed polymorphs**: 1.46 kcal/mol of atoms

Cell: 7.5622 10.6549 10.6549 Å, 120.00 90.00 90.00°
Closest atoms and distances in Å follow each position.
Fractional coordinates of all 36 atoms:
As1 0.7522 0.0415 0.3397  3 O 1.76-1.84
Pb1 0.7532 0.6904 0.0488  3 O 2.32-2.37
O1 0.1254 0.8113 0.6419  1 As 1.76
O2 0.9634 0.1388 0.4071  1 As 1.84
O3 0.9634 0.5929 0.7317  1 As 1.84
O4 0.7745 0.1976 0.0566  1 As 1.84
Pb2 0.4102 0.6667 0.3333  3 O 2.52, 1 Cl 2.68
Pb3 0.2532 0.0488 0.3584  3 O 2.32-2.37
Pb4 0.9102 0.3333 0.6667  3 O 2.52, 1 Cl 2.68
Pb5 0.2532 0.6416 0.6904  3 O 2.32-2.37
As2 0.2522 0.9585 0.6603  3 O 1.76-1.84
As3 0.7522 0.6603 0.7018  3 O 1.76-1.84
O5 0.1254 0.8306 0.1887  1 As 1.76
O6 0.9634 0.2683 0.8612  1 As 1.84
O7 0.2745 0.8024 0.9434  1 As 1.84
O8 0.4634 0.4071 0.2683  1 As 1.84
O9 0.2745 0.0566 0.8590  1 As 1.84
O10 0.7745 0.8590 0.8024  1 As 1.84
As4 0.2522 0.7018 0.0415  3 O 1.76-1.84
As5 0.2522 0.3397 0.2982  3 O 1.76-1.84
Pb6 0.7532 0.9512 0.6416  3 O 2.32-2.37
O11 0.6254 0.1694 0.8113  1 As 1.76
Pb7 0.5586 0.0000 0.0000  3 O 2.49
Pb8 0.2532 0.3096 0.9512  3 O 2.32-2.37
Pb9 0.0586 0.0000 0.0000  3 O 2.49
O12 0.7745 0.9434 0.1410  1 As 1.84
O13 0.1254 0.3581 0.1694  1 As 1.76
O14 0.4634 0.7317 0.1388  1 As 1.84
As6 0.7522 0.2982 0.9585  3 O 1.76-1.84
Cl1 0.2641 0.3333 0.6667  1 Pb 2.68
O15 0.4634 0.8612 0.5929  1 As 1.84
O16 0.6254 0.6419 0.8306  1 As 1.76
O17 0.6254 0.1887 0.3581  1 As 1.76
Pb10 0.7532 0.3584 0.3096  3 O 2.32-2.37
Cl2 0.7641 0.6667 0.3333  1 Pb 2.68
O18 0.2745 0.1410 0.1976  1 As 1.84